The following is a PBE-GGA calculation of crystalline Ta2ZnCu at its relaxed geometry, from Alexandria.

Properties
* N(E_F): 2.854 states/eV/f.u.
* M_tot: 0.00 μB per formula unit
* ΔH_f (0 K): 0.10 eV per atom

a = 10.2246 Å, b = 2.9580 Å, c = 4.7092 Å
α = 90.00°, β = 117.34°, γ = 90.00°
With the nearest neighbours (Å) after each atom.
Space group Cm (No. 8)
Symmetry-distinct sites (fractional):
Ta  0.0000  0.0000  0.0000 [2 per cell]  4 Cu 2.78-2.79, 4 Ta 2.82-2.96, 2 Zn 2.84
Ta  0.2351  0.0000  0.7408 [2 per cell]  2 Cu 2.70, 4 Zn 2.79-2.80, 4 Ta 2.82-2.96
Zn  0.2668  0.5000  0.2729 [2 per cell]  2 Cu 2.48
Cu  0.4862  0.0000  0.4848 [2 per cell]  2 Zn 2.48, 4 Ta 2.70-2.78